[1]
Entry from Alexandria via LeMat-Bulk: a relaxed structure of Cs4Zn2Ga (PBE).

Properties
space-group type	I4/mmm

Cell lengths 7.2743, 7.2743, 10.2812 Å; angles 69.28, 69.28, 90.00 degrees
Element x y z (fractional)
Ga 0.0000 0.0000 0.0000
Cs 0.2119 0.2119 0.5761
Cs 0.0000 0.5000 0.0000
Cs 0.7881 0.7881 0.4239
Cs 0.5000 0.0000 0.0000
Zn 0.5747 0.5747 0.8505
Zn 0.4253 0.4253 0.1495

=====

[2]
Entry from Alexandria via LeMat-Bulk: a relaxed structure of CsZnGa2 (PBE).

Properties
space-group type	Cmcm

Cell lengths 4.3268, 7.4660, 7.5360 Å; angles 90.00, 90.00, 106.84 degrees
Element x y z (fractional)
Cs 0.0339 0.0678 0.7500
Cs 0.9661 0.9322 0.2500
Ga 0.3120 0.6240 0.9304
Ga 0.6880 0.3760 0.4304
Ga 0.3120 0.6240 0.5696
Ga 0.6880 0.3760 0.0696
Zn 0.2422 0.4845 0.2500
Zn 0.7578 0.5155 0.7500

=====

| no. | formation energy (kJ/mol of formula units) | density of states at the Fermi level (states/eV per atom) |
| --- | --- | --- |
| 1 | 160 | 0.5742 |
| 2 | -26 | 0.5148 |